1.
BaAl3Ru: optimized geometry, PBE-GGA.

Cell lengths 5.6671, 5.6671, 5.6671 Å; angles 90.00, 90.00, 90.00 degrees
Last column: nearest neighbours and their distance in Å.
Positions (direct):
Ru 0.5000 0.5000 0.5000  12 Al 4.01
Ba 0.0000 0.0000 0.0000  6 Al 2.83
Al 0.0000 0.5000 0.0000  2 Ba 2.83
Al 0.0000 0.0000 0.5000  2 Ba 2.83
Al 0.5000 0.0000 0.0000  2 Ba 2.83

Summary:
Theoretical density (Mg/m³): 2.91
Space-group type: Pm-3m (221)
ΔH_f (0 K) (eV/atom): 2.2532
Raw total energy (eV/atom): -2.23


2.
BaAl2Ru: optimized geometry, PBE-GGA.

Cell lengths 4.4127, 4.4127, 6.5166 Å; angles 70.29, 70.29, 59.99 degrees
Last column: nearest neighbours and their distance in Å.
Positions (direct):
Ru 0.6781 0.6781 0.9661  6 Al 2.55-2.62
Ba 0.4942 0.4942 0.5160  1 Ru 3.30, 5 Al 3.32-3.69
Al 0.0170 0.0170 0.9493  3 Ru 2.55, 3 Al 2.65
Al 0.3107 0.3107 0.0686  3 Ru 2.62, 3 Al 2.65

Summary:
Theoretical density (Mg/m³): 4.80
Space-group type: Cm (8)
ΔH_f (0 K) (eV/atom): -0.2743
Raw total energy (eV/atom): -4.95


3.
BaAl2Ru2: optimized geometry, PBE-GGA.

Cell lengths 4.3828, 4.3828, 6.1237 Å; angles 69.03, 69.03, 90.00 degrees
Last column: nearest neighbours and their distance in Å.
Positions (direct):
Ru 0.3811 0.3811 0.2379  1 Ru 2.51, 4 Al 2.59
Ru 0.6189 0.6189 0.7621  1 Ru 2.51, 4 Al 2.59
Ba 0.0000 0.0000 0.0000  8 Ru 3.34, 8 Al 3.43
Al 0.7500 0.2500 0.5000  4 Ru 2.59
Al 0.2500 0.7500 0.5000  4 Ru 2.59

Summary:
Theoretical density (Mg/m³): 6.44
Space-group type: I4/mmm (139)
ΔH_f (0 K) (eV/atom): -0.1565
Raw total energy (eV/atom): -5.75


4.
BaAl2Ru: optimized geometry, PBE-GGA.

Cell lengths 3.2048, 3.2038, 8.1241 Å; angles 90.00, 90.00, 90.00 degrees
Last column: nearest neighbours and their distance in Å.
Positions (direct):
Ru 0.5000 0.5000 0.7500  8 Al 2.63
Ba 0.5000 0.5000 0.2500  4 Ba 3.20, 8 Al 3.54
Al 0.0000 0.0000 0.9148  4 Ru 2.63, 1 Al 2.68
Al 0.0000 0.0000 0.5852  4 Ru 2.63, 1 Al 2.68

Summary:
Theoretical density (Mg/m³): 5.82
Space-group type: P4/mmm (123)
ΔH_f (0 K) (eV/atom): -0.2501
Raw total energy (eV/atom): -4.92


5.
Ba2AlRu: optimized geometry, PBE-GGA.

Cell lengths 5.3424, 5.3424, 4.2488 Å; angles 89.99, 89.99, 90.13 degrees
Last column: nearest neighbours and their distance in Å.
Positions (direct):
Ru 0.5000 0.0000 0.5000  8 Ba 3.41, 4 Al 3.77-3.78
Ba 0.0000 0.0000 0.0000  4 Al 3.41, 4 Ru 3.41, 4 Ba 3.77-3.78
Ba 0.5000 0.5000 0.0000  4 Ru 3.41, 4 Al 3.41, 4 Ba 3.77-3.78
Al 0.0000 0.5000 0.5000  8 Ba 3.41, 4 Ru 3.77-3.78

Summary:
Theoretical density (Mg/m³): 5.51
Space-group type: Cmmm (65)
ΔH_f (0 K) (eV/atom): 0.5175
Raw total energy (eV/atom): -3.70


6.
BaAl2Ru: optimized geometry, PBE-GGA.

Cell lengths 4.9453, 4.9453, 4.9339 Å; angles 120.08, 120.08, 90.00 degrees
Last column: nearest neighbours and their distance in Å.
Positions (direct):
Ru 0.7500 0.2500 0.5000  4 Ba 3.02, 4 Al 3.02
Ba 0.5000 0.5000 0.0000  4 Ru 3.02, 4 Al 3.02
Al 0.0000 0.0000 0.0000  4 Ru 3.02, 4 Al 3.02
Al 0.2500 0.7500 0.5000  4 Ba 3.02, 4 Al 3.02

Summary:
Theoretical density (Mg/m³): 5.70
Space-group type: I-4m2 (119)
ΔH_f (0 K) (eV/atom): 0.4680
Raw total energy (eV/atom): -4.20


7.
BaAl2Ru: optimized geometry, PBE-GGA.

Cell lengths 5.5596, 5.5596, 8.6638 Å; angles 71.29, 71.29, 90.00 degrees
Last column: nearest neighbours and their distance in Å.
Positions (direct):
Ru 0.5000 0.5000 0.0000  4 Al 2.38
Ru 0.2500 0.7500 0.5000  4 Al 2.38
Ba 0.0000 0.0000 0.0000  8 Al 3.66, 4 Ru 3.93
Ba 0.7500 0.2500 0.5000  8 Al 3.66, 4 Ru 3.93
Al 0.3751 0.1250 0.2500  2 Ru 2.38
Al 0.3749 0.6250 0.2500  2 Ru 2.38
Al 0.3750 0.6249 0.7500  2 Ru 2.38
Al 0.8750 0.6251 0.7500  2 Ru 2.38

Summary:
Theoretical density (Mg/m³): 4.07
Space-group type: I4_1/amd (141)
ΔH_f (0 K) (eV/atom): -0.0284
Raw total energy (eV/atom): -4.70


8.
BaAlRu: optimized geometry, PBE-GGA.

Cell lengths 4.2880, 4.2880, 5.0327 Å; angles 90.00, 90.00, 120.00 degrees
Last column: nearest neighbours and their distance in Å.
Positions (direct):
Ru 0.6667 0.3333 0.8333  3 Al 2.48
Ba 0.3333 0.6667 0.3333  6 Ru 3.53, 6 Al 3.53
Al 0.0000 0.0000 0.8333  3 Ru 2.48

Summary:
Theoretical density (Mg/m³): 5.50
Space-group type: P-6m2 (187)
ΔH_f (0 K) (eV/atom): 0.0168
Raw total energy (eV/atom): -4.96


9.
Ba2AlRu: optimized geometry, PBE-GGA.

Cell lengths 3.9097, 3.8325, 8.9973 Å; angles 64.91, 90.00, 90.00 degrees
Last column: nearest neighbours and their distance in Å.
Positions (direct):
Ru 0.5000 0.2500 0.2500  8 Ba 3.28-3.29
Ba 0.0000 0.9744 0.0264  4 Ru 3.28-3.29, 4 Al 3.54-3.55, 1 Ba 3.64
Ba 0.0000 0.5256 0.4736  4 Ru 3.28-3.29, 4 Al 3.54-3.55, 1 Ba 3.64
Al 0.5000 0.7500 0.7500  8 Ba 3.54-3.55, 4 Al 3.83-3.91

Summary:
Theoretical density (Mg/m³): 5.48
Space-group type: P2/m (10)
ΔH_f (0 K) (eV/atom): 0.4701
Raw total energy (eV/atom): -3.75


10.
Ba2AlRu: optimized geometry, PBE-GGA.

Cell lengths 4.4080, 4.9087, 6.7123 Å; angles 68.55, 90.00, 90.00 degrees
Last column: nearest neighbours and their distance in Å.
Positions (direct):
Ru 0.0000 0.6662 0.5422  2 Al 2.46
Ba 0.0000 0.9881 0.8990  2 Ru 3.31-3.32, 4 Al 3.49
Ba 0.5000 0.2670 0.3411  2 Al 3.40, 4 Ru 3.53
Al 0.5000 0.5787 0.7177  2 Ru 2.46

Summary:
Theoretical density (Mg/m³): 4.95
Space-group type: Amm2 (38)
ΔH_f (0 K) (eV/atom): 0.0489
Raw total energy (eV/atom): -4.17


11.
Ba4Al2Ru: optimized geometry, PBE-GGA.

Cell lengths 5.8523, 5.8523, 9.4207 Å; angles 71.90, 71.90, 90.00 degrees
Last column: nearest neighbours and their distance in Å.
Positions (direct):
Ru 0.0000 0.0000 0.0000  6 Ba 2.93-3.05
Ba 0.8198 0.8198 0.3604  1 Ru 3.05
Ba 0.1802 0.1802 0.6396  1 Ru 3.05
Ba 0.0000 0.5000 0.0000  2 Ru 2.93
Ba 0.5000 0.0000 0.0000  2 Ru 2.93
Al 0.6116 0.6116 0.7768  5 Ba 3.48-3.52, 1 Al 3.78
Al 0.3884 0.3884 0.2232  5 Ba 3.48-3.52, 1 Al 3.78

Summary:
Theoretical density (Mg/m³): 4.04
Space-group type: I4/mmm (139)
ΔH_f (0 K) (eV/atom): 0.3022
Raw total energy (eV/atom): -3.19


12.
BaAlRu: optimized geometry, PBE-GGA.

Cell lengths 5.0489, 5.0489, 5.0489 Å; angles 60.00, 60.00, 60.00 degrees
Last column: nearest neighbours and their distance in Å.
Positions (direct):
Ru 0.0000 0.0000 0.0000  4 Ba 3.09
Ba 0.7500 0.7500 0.7500  4 Al 3.09, 4 Ru 3.09
Al 0.5000 0.5000 0.5000  4 Ba 3.09

Summary:
Theoretical density (Mg/m³): 4.84
Space-group type: F-43m (216)
ΔH_f (0 K) (eV/atom): 1.4517
Raw total energy (eV/atom): -3.53